Material: ZrFeAg2
Method: DFT, PBE-GGA
State: optimized geometry

Lattice parameters (Å, degrees): 4.978 4.978 5.134 78.00 78.00 34.63
Last column: magnetic moment on the atom in μB.
Element x y z (fractional)
Ag: 0.004 0.004 0.984  -0.01
Ag: 0.759 0.759 0.749  0.00
Fe: 0.498 0.498 0.498  2.63
Zr: 0.239 0.239 0.268  -0.23

Calculated values
As for the symmetry: Cm. The value obtained for the mass density is 8.54 g/cm³. Its energy above the most stable polymorph in this dataset is 0.413 eV per formula unit. The value obtained for the total magnetic moment is 2.276 Bohr magnetons per cell. For the density of states at the Fermi level, the calculation gives 0.846 states/eV/atom. The formation energy comes out at 0.214 eV per atom.



Material: ZrFeAg2
Method: DFT, PBE-GGA
State: optimized geometry

Lattice parameters (Å, degrees): 4.871 4.871 3.056 90.00 90.00 90.00
Last column: magnetic moment on the atom in μB.
Element x y z (fractional)
Ag: 0.000 0.000 0.000  -0.03
Ag: 0.500 0.500 0.000  -0.03
Fe: 0.500 0.000 0.500  2.93
Zr: 0.000 0.500 0.500  -0.13

Calculated values
As for the symmetry: P4/mmm. The value obtained for the mass density is 8.31 g/cm³. Its energy above the most stable polymorph in this dataset is 1.055 eV per formula unit. The value obtained for the total magnetic moment is 2.616 Bohr magnetons per cell. For the density of states at the Fermi level, the calculation gives 1.231 states/eV/atom. The formation energy comes out at 0.374 eV per atom.



Material: Zr2FeAg
Method: DFT, PBE-GGA
State: optimized geometry

Lattice parameters (Å, degrees): 4.681 4.681 4.681 60.00 60.00 60.00
Last column: magnetic moment on the atom in μB.
Element x y z (fractional)
Ag: 0.500 0.500 0.500  -0.03
Fe: 0.250 0.250 0.250  2.20
Zr: 0.000 0.000 0.000  -0.63
Zr: 0.750 0.750 0.750  -0.41

Calculated values
As for the symmetry: F-43m. The value obtained for the mass density is 7.92 g/cm³. Its energy above the most stable polymorph in this dataset is 1.255 eV per formula unit. The value obtained for the total magnetic moment is 0.864 Bohr magnetons per cell. For the density of states at the Fermi level, the calculation gives 0.929 states/eV/atom. The formation energy comes out at 0.207 eV per atom.